This record from Alexandria via LeMat-Bulk describes a relaxed structure of Y2HoThP4. The functional is PBE.

Results
SG = P2/m, No. 10
DOS(E_F) = 1.5 states/eV per cell
Magnetic moment = 0.00 μB/cell
Energy of formation = -1.62 eV per atom

a = 4.050 Å, b = 6.995 Å, c = 6.997 Å
α = 109.47°, β = 90.00°, γ = 90.00°
Sites, in units of the cell vectors:
Y  0.500  0.000  0.500
Y  0.000  0.500  0.500
Ho  0.000  0.000  0.000
Th  0.500  0.500  0.000
P  0.500  0.247  0.250
P  0.500  0.753  0.750
P  0.000  0.245  0.746
P  0.000  0.755  0.254